1.
A relaxed MgRh2O4 crystal. Source: Alexandria via LeMat-Bulk, functional GGA-PBE.

```
MgRh2O4
1.0
0.000 4.330 4.330
4.330 0.000 4.330
4.330 4.330 0.000
Mg Rh O
2 4 8
Cartesian
1.083 1.083 1.083
7.578 7.578 7.578
4.330 2.165 2.165
2.165 4.330 2.165
2.165 2.165 4.330
4.330 4.330 4.330
2.253 2.253 2.253
4.242 4.242 2.253
4.242 2.253 4.242
6.408 4.418 4.418
2.253 4.242 4.242
4.418 6.408 4.418
4.418 4.418 6.408
6.408 6.408 6.408
```

Properties
As for the energy above the lowest structure with this stoichiometry: 0.000 eV per atom. The space group is Fd-3m, No. 227. The calculation puts the energy relative to the elements, uncorrected at -1.25 eV/atom.


2.
A relaxed MgRhO4 crystal. Source: Alexandria via LeMat-Bulk, functional GGA-PBE.

```
MgRhO4
1.0
-2.487 2.487 4.772
2.487 -2.487 4.772
2.487 2.487 -4.772
Mg Rh O
2 2 8
Cartesian
2.487 1.244 1.193
0.000 1.244 3.579
2.487 -1.244 3.579
0.000 3.731 1.193
1.176 0.000 0.000
3.799 0.000 0.000
1.244 2.419 -2.386
1.244 -0.068 2.386
1.176 2.487 0.000
1.311 0.000 4.772
-1.244 2.555 2.386
1.244 2.555 2.386
```

Properties
The space group is I4_1/amd, No. 141. The calculation puts the energy relative to the elements, uncorrected at -0.98 eV/atom.


Total energy readings, ordered: -6.41 -5.78 eV/atom